1.
MnAl2Cr | GGA-PBEsol | relaxed

Results
- Formation energy: -86 meV/atom
- E_tot: -7.133 eV per atom
- Total magnetic moment: 4.463 μB per formula unit

Unit cell a=4.176 b=4.176 c=4.176 alpha=60.00 beta=60.00 gamma=60.00
Last column: magnetic moment on the atom in μB.
Positions (direct):
Al 0.250 0.250 0.250  -0.03
Al 0.750 0.750 0.750  -0.03
Cr 0.000 0.000 0.000  2.28
Mn 0.500 0.500 0.500  2.00



2.
TaRuW2 | GGA-PBEsol | relaxed

Results
- Formation energy: 249 meV/atom
- E_tot: -12.335 eV per atom
- Total magnetic moment: 0.000 μB per formula unit
- Distance to the lowest polymorph of the same formula: 3 kJ/mol of formula units

Unit cell a=2.768 b=5.092 c=5.092 alpha=118.26 beta=90.00 gamma=90.00
Positions (direct):
W 0.000 0.500 0.000
W 0.000 0.000 0.500
Ta 0.500 0.500 0.500
Ru 0.500 0.000 0.000